Entry 1:
VASP calculation (PBE) on crystalline TlTeRu2 at its relaxed geometry.

Lattice parameters (Å, degrees): 4.5056 4.5056 5.8418 77.63 77.63 41.62
With the nearest neighbours (Å) after each atom.
Sites, in units of the cell vectors:
Tl (0.2500, 0.2500, 0.2500)  6 Ru 2.87-3.02, 2 Tl 3.20
Te (0.7500, 0.7500, 0.7500)  6 Ru 2.64-2.71
Ru (0.5013, 0.5013, 0.5445)  3 Te 2.64-2.71, 2 Tl 2.87, 2 Ru 2.88
Ru (0.9987, 0.9987, 0.9555)  3 Te 2.64-2.71, 2 Tl 2.87, 2 Ru 2.88

Calculated values
**Density**: 11.57 g cm⁻³
**Formation energy without anion corrections**: 444.8 meV per atom
**Spin magnetization**: 0.00 μB per formula unit
**Space group**: No. 12

***

Entry 2:
VASP calculation (PBE) on crystalline CaRhCl6 at its relaxed geometry.

Lattice parameters (Å, degrees): 6.3354 6.3369 6.7892 62.19 62.17 59.98
With the nearest neighbours (Å) after each atom.
Sites, in units of the cell vectors:
Cl (0.7877, 0.0503, 0.7669)  1 Rh 2.35
Cl (0.3952, 0.7877, 0.7669)  1 Rh 2.35
Cl (0.0502, 0.3950, 0.7670)  1 Rh 2.35
Cl (0.9498, 0.6050, 0.2330)  1 Rh 2.35
Cl (0.6048, 0.2123, 0.2331)  1 Rh 2.35
Cl (0.2123, 0.9497, 0.2331)  1 Rh 2.35
Ca (0.5000, 0.5000, 0.5000)  6 Cl 2.79
Rh (0.0000, 0.0000, 0.0000)  6 Cl 2.35

Calculated values
**Density**: 2.97 g cm⁻³
**Formation energy without anion corrections**: -1103.2 meV per atom
**Spin magnetization**: 0.81 μB per formula unit
**Space group**: No. 148

***

Entry 3:
VASP calculation (PBE) on crystalline LuHfZnCd at its relaxed geometry.

Lattice parameters (Å, degrees): 4.9375 4.9375 4.9375 60.00 60.00 60.00
With the nearest neighbours (Å) after each atom.
Sites, in units of the cell vectors:
Zn (0.7500, 0.7500, 0.7500)  4 Hf 3.02, 4 Lu 3.02
Cd (0.2500, 0.2500, 0.2500)  4 Hf 3.02, 4 Lu 3.02
Lu (0.0000, 0.0000, 0.0000)  4 Cd 3.02, 4 Zn 3.02
Hf (0.5000, 0.5000, 0.5000)  4 Zn 3.02, 4 Cd 3.02

Calculated values
**Density**: 10.36 g cm⁻³
**Spin magnetization**: 0.01 μB per formula unit
**DFT total energy**: -0.3134 Ry/atom
**Space group**: No. 216

***

Entry 4:
VASP calculation (PBE) on crystalline LiSc2Fe at its relaxed geometry.

Lattice parameters (Å, degrees): 9.7548 9.7548 9.7548 18.60 18.60 18.60
With the nearest neighbours (Å) after each atom.
Sites, in units of the cell vectors:
Sc (0.8958, 0.8958, 0.8958)  3 Fe 2.56
Sc (0.1042, 0.1042, 0.1042)  3 Fe 2.56
Fe (0.5000, 0.5000, 0.5000)  6 Sc 2.56
Li (0.0000, 0.0000, 0.0000)  2 Sc 2.99, 6 Li 3.15

Calculated values
**Density**: 3.07 g cm⁻³
**Spin magnetization**: 0.00 μB per formula unit
**DFT total energy**: -0.4077 Ry/atom
**Space group**: No. 166